The following is a DFT calculation (GGA+U) of crystalline NpGaFe2O6 at its relaxed geometry.

a = 5.327 Å, b = 5.361 Å, c = 5.682 Å
α = 62.19°, β = 62.70°, γ = 60.48°
Space group P1 (No. 1)
One atom of each set of equivalent atoms:
Np: 0.000 0.000 0.000 (multiplicity 1)
Ga: 0.501 0.504 0.492 (multiplicity 1)
Fe: 0.292 0.316 0.111 (multiplicity 1)
Fe: 0.794 0.797 0.614 (multiplicity 1)
O: 0.124 0.396 0.786 (multiplicity 1)
O: 0.222 0.879 0.291 (multiplicity 1)
O: 0.401 0.709 0.774 (multiplicity 1)
O: 0.594 0.235 0.291 (multiplicity 1)
O: 0.720 0.117 0.773 (multiplicity 1)
O: 0.870 0.607 0.295 (multiplicity 1)

Results
magnetization: 6.000 μB per formula unit
electronic total energy: -7.676 eV per atom